## Ru2Se (PBE-GGA)

Data for crystalline Ru2Se at its relaxed geometry.

- magnetic moment (μB/f.u.) = 0.696
- formation energy without anion corrections (eV per atom) = 0.333
- SG = No. 189
- energy above the most stable polymorph in this dataset (kJ/mol of atoms) = 26.2

Structure (POSCAR):
```
Ru2Se
1.0
3.164 -5.480 0.000
3.164 5.480 0.000
0.000 0.000 3.930
Ru Se
6 3
direct
0.381 0.381 0.500
0.619 0.000 0.500
0.000 0.268 0.000
0.732 0.732 0.000
0.268 0.000 0.000
0.000 0.619 0.500
0.000 0.000 0.500
0.667 0.333 0.000
0.333 0.667 0.000
```


## SrYSb2 (PBE-GGA)

Data for crystalline SrYSb2 at its relaxed geometry.

- magnetic moment (μB/f.u.) = 0.134
- formation energy without anion corrections (eV per atom) = -0.867
- SG = No. 47
- energy above the most stable polymorph in this dataset (kJ/mol of atoms) = 9.2

Structure (POSCAR):
```
SrYSb2
1.0
3.467 0.000 0.000
0.000 4.107 0.000
0.000 0.000 8.387
Sb Y Sr
2 1 1
direct
0.000 0.000 0.981
0.000 0.000 0.519
0.500 0.500 0.750
0.500 0.500 0.250
```


## TcBrNO2 (PBE-GGA)

Data for crystalline TcBrNO2 at its relaxed geometry.

- magnetic moment (μB/f.u.) = 0.000
- formation energy without anion corrections (eV per atom) = 0.063
- SG = No. 123

Structure (POSCAR):
```
TcBrNO2
1.0
-3.491 1.344 -0.736
-1.448 -3.493 0.490
-0.560 0.813 4.140
Tc N O Br
1 1 2 1
direct
0.000 0.000 0.000
0.000 0.000 0.500
0.000 0.500 0.000
0.500 0.000 0.000
0.500 0.500 0.500
```


## TlSbSe2 (PBE-GGA)

Data for crystalline TlSbSe2 at its relaxed geometry.

- magnetic moment (μB/f.u.) = 0.000
- formation energy without anion corrections (eV per atom) = -0.003
- SG = No. 225

Structure (POSCAR):
```
TlSbSe2
1.0
0.000 3.701 3.701
3.701 0.000 3.701
3.701 3.701 0.000
Sb Tl Se
1 1 2
direct
0.000 0.000 0.000
0.500 0.500 0.500
0.250 0.250 0.250
0.750 0.750 0.750
```


## LiCo2N2 (PBE-GGA)

Data for crystalline LiCo2N2 at its relaxed geometry.

- magnetic moment (μB/f.u.) = 0.001
- formation energy without anion corrections (eV per atom) = 0.537
- SG = No. 127
- energy above the most stable polymorph in this dataset (kJ/mol of atoms) = 30.9

Structure (POSCAR):
```
LiCo2N2
1.0
-4.371 -3.535 -1.790
3.483 -2.158 -4.244
0.807 -1.796 1.575
N Co Li
4 4 2
direct
0.812 0.312 0.500
0.188 0.688 0.500
0.688 0.812 0.500
0.312 0.188 0.500
0.848 0.652 0.000
0.348 0.848 0.000
0.152 0.348 0.000
0.652 0.152 0.000
0.000 0.000 0.000
0.500 0.500 0.000
```


## BaSn4Ir (PBE-GGA)

Data for crystalline BaSn4Ir at its relaxed geometry.

- VASP energy (eV per atom) = -4.75
- magnetic moment (μB/f.u.) = 0.000
- SG = No. 2

Structure (POSCAR):
```
BaSn4Ir
1.0
-3.631 5.996 0.709
-4.126 -3.121 5.211
6.763 -0.432 3.425
Ir Sn Ba
2 8 2
direct
0.000 0.500 0.500
0.500 0.000 0.500
0.326 0.585 0.856
0.126 0.147 0.477
0.350 0.647 0.476
0.528 0.086 0.856
0.472 0.914 0.144
0.650 0.353 0.524
0.674 0.415 0.144
0.874 0.853 0.523
0.900 0.750 0.998
0.100 0.250 0.002
```